(1)
Computed, not measured: crystalline TlVAg2Au at its relaxed geometry at the GGA-PBE level of DFT.

Geometry as POSCAR:
```
TlVAg2Au
1.0
-4.334 2.254 1.785
-2.482 -1.815 -3.735
-1.070 -4.262 2.783
Tl Au Ag V
1 1 2 1
Cartesian
-3.943 -1.912 0.417
0.000 0.000 0.000
-0.535 -2.131 1.391
-2.167 1.127 0.892
-1.241 -0.908 -1.867
```

- total energy (eV/f.u.) = -16.16
- SG = P4/mmm, No. 123
- ΔH_f (0 K) (eV/atom) = 0.861
- calculated volume (Å³/f.u.) = 130.87

---

(2)
Computed, not measured: crystalline Fe7Si6 at its relaxed geometry at the GGA-PBE level of DFT.

Geometry as POSCAR:
```
Fe7Si6
1.0
-6.292 -3.468 4.131
-3.549 -7.067 2.478
-2.252 -4.681 6.457
Si Fe
6 7
Cartesian
-0.637 -0.802 0.689
-11.455 -14.414 12.378
-1.963 -2.470 2.121
-10.130 -12.746 10.945
-4.036 -5.079 4.361
-8.056 -10.137 8.705
-5.270 -5.318 6.379
-5.925 -6.522 4.370
-3.885 -7.135 5.545
-6.823 -9.898 6.687
-8.208 -8.081 7.522
-6.168 -8.694 8.696
-6.046 -7.608 6.533
```

- total energy (eV/f.u.) = -93.07
- formation energy (no corrections) (eV per atom) = -0.099
- SG = R-3m, No. 166
- calculated volume (Å³/f.u.) = 156.89

---

(3)
Computed, not measured: crystalline Sr2PrPbSe4 at its relaxed geometry at the GGA-PBE level of DFT.

Geometry as POSCAR:
```
Sr2PrPbSe4
1.0
4.371 0.000 0.000
0.000 7.637 0.148
0.000 -2.654 7.114
Sr Pr Pb Se
2 1 1 4
Cartesian
2.185 -1.327 3.557
0.000 2.491 3.631
2.185 3.818 0.074
0.000 0.000 0.000
2.185 1.284 1.779
2.185 3.699 5.482
0.000 -0.061 5.416
0.000 5.044 1.845
```

- total energy (eV/f.u.) = -38.44
- formation energy (no corrections) (eV per atom) = -1.581
- SG = P2/m, No. 10
- calculated volume (Å³/f.u.) = 239.17

---

(4)
Computed, not measured: crystalline Ac3AuSe5 at its relaxed geometry at the GGA-PBE level of DFT.

Geometry as POSCAR:
```
Ac3AuSe5
1.0
8.403 0.000 0.000
0.000 8.403 0.000
-4.202 -4.202 7.242
Ac Au Se
6 2 10
Cartesian
5.478 1.276 0.000
2.925 7.127 0.000
7.127 5.478 0.000
1.276 2.925 0.000
0.000 0.000 3.621
4.202 4.202 3.621
4.202 0.000 3.621
0.000 4.202 3.621
-2.766 1.436 5.186
2.766 -1.436 5.186
-1.436 -2.766 5.186
1.436 2.766 5.186
6.968 2.766 2.056
1.436 5.637 2.056
5.637 6.968 2.056
2.766 1.436 2.056
4.202 4.202 0.000
0.000 0.000 0.000
```

- total energy (eV/f.u.) = -47.06
- formation energy (no corrections) (eV per atom) = -1.560
- SG = I4/mcm, No. 140
- calculated volume (Å³/f.u.) = 255.69

---

(5)
Computed, not measured: crystalline CaCuAs2Se at its relaxed geometry at the GGA-PBE level of DFT.

Geometry as POSCAR:
```
CaCuAs2Se
1.0
-1.524 4.349 -0.917
-4.130 -1.027 1.991
1.798 1.589 4.550
As Ca Cu Se
2 1 1 1
Cartesian
-2.065 -0.514 0.995
-0.762 2.174 -0.458
-1.928 2.455 2.812
0.000 0.000 0.000
0.899 0.795 2.275
```

- total energy (eV/f.u.) = -19.72
- formation energy (no corrections) (eV per atom) = -0.168
- SG = P4/mmm, No. 123
- relative energy among the computed polymorphs (eV/atom) = 0.0000
- calculated volume (Å³/f.u.) = 113.53

---

(6)
Computed, not measured: crystalline BaCuSi2 at its relaxed geometry at the GGA-PBE level of DFT.

Geometry as POSCAR:
```
BaCuSi2
1.0
-0.060 -5.028 2.157
5.109 0.895 1.741
-4.933 2.061 1.165
Ba Cu Si
1 1 2
Cartesian
-1.234 -2.517 2.635
1.351 0.445 2.428
0.496 -0.406 0.383
2.029 -1.660 1.566
```

- total energy (eV/f.u.) = -17.20
- formation energy (no corrections) (eV per atom) = -0.084
- SG = Immm, No. 71
- calculated volume (Å³/f.u.) = 105.51

---

Repeat the fourth record exactly.
Computed, not measured: crystalline Ac3AuSe5 at its relaxed geometry at the GGA-PBE level of DFT.

Geometry as POSCAR:
```
Ac3AuSe5
1.0
8.403 0.000 0.000
0.000 8.403 0.000
-4.202 -4.202 7.242
Ac Au Se
6 2 10
Cartesian
5.478 1.276 0.000
2.925 7.127 0.000
7.127 5.478 0.000
1.276 2.925 0.000
0.000 0.000 3.621
4.202 4.202 3.621
4.202 0.000 3.621
0.000 4.202 3.621
-2.766 1.436 5.186
2.766 -1.436 5.186
-1.436 -2.766 5.186
1.436 2.766 5.186
6.968 2.766 2.056
1.436 5.637 2.056
5.637 6.968 2.056
2.766 1.436 2.056
4.202 4.202 0.000
0.000 0.000 0.000
```

- total energy (eV/f.u.) = -47.06
- formation energy (no corrections) (eV per atom) = -1.560
- SG = I4/mcm, No. 140
- calculated volume (Å³/f.u.) = 255.69